PmTcNi2O6: optimized geometry, PBE+U.

Fermi-level density of states: 0.24 states/eV per cell
VASP energy: -63.40 eV/f.u.
Space-group type: P4mm, No. 99

Cell and atoms, written as POSCAR:
```
PmTcNi2O6
1.0
5.578 0.000 0.000
0.000 5.578 0.000
0.000 0.000 4.932
Pm Tc Ni O
1 1 2 6
direct
0.000 0.000 0.000
0.500 0.500 0.024
0.000 0.500 0.318
0.500 0.000 0.318
0.000 0.000 0.574
0.274 0.274 0.188
0.274 0.726 0.188
0.500 0.500 0.680
0.726 0.274 0.188
0.726 0.726 0.188
```